Record 1
First-principles (PBE) data for BaAl2Ag after structural relaxation, as listed in Alexandria.

The space group is R-3m (No. 166, hexagonal axes) and the conventional cell measures 4.5032, 4.5032 and 18.6518 Å, with angles of 90.00, 90.00 and 120.00 degrees. The asymmetric unit holds Ba at (0.0000, 0.0000, 0.0000), Al at (0.0000, 0.0000, 0.1999) and Ag at (0.0000, 0.0000, 0.5000).

For the formation enthalpy at 0 K, the calculation gives -0.20 eV per atom. The volume is 327.62 Å³ per cell. As for the final energy: -39.23 eV/cell.



Record 2
First-principles (PBE) data for MgTa2Os2 after structural relaxation, as listed in Alexandria.

The space group is P4/mbm (No. 127) and the conventional cell measures 7.640, 7.640 and 3.031 Å, with angles of 90.00, 90.00 and 90.00 degrees. The asymmetric unit holds Mg at (0.000, 0.000, 0.000), Ta at (0.153, 0.347, 0.500) and Os at (0.143, 0.643, 0.000).

For the formation enthalpy at 0 K, the calculation gives -0.10 eV per atom. The volume is 176.95 Å³ per cell. As for the final energy: -96.50 eV/cell.



Record 3
First-principles (PBE) data for Nd2Sm4ThMg after structural relaxation, as listed in Alexandria.

The space group is Pmmm (No. 47) and the conventional cell measures 5.723, 5.725 and 7.890 Å, with angles of 90.00, 90.00 and 90.00 degrees. The asymmetric unit holds Nd at (0.000, 0.000, 0.000), Nd at (0.500, 0.500, 0.500), Sm at (0.000, 0.500, 0.232), Sm at (0.500, 0.000, 0.233), Th at (0.000, 0.000, 0.500) and Mg at (0.500, 0.500, 0.000).

For the formation enthalpy at 0 K, the calculation gives 0.10 eV per atom. The volume is 258.52 Å³ per cell. As for the final energy: -36.62 eV/cell.